The following is a GGA-PBE calculation of crystalline InSi2Br at its relaxed geometry, from Alexandria via LeMat-Bulk.

## Properties
Energy relative to the lowest polymorph listed for this composition (meV per atom): 498.0
Calculated volume (Å³ per cell): 93
SG: No. 12
Uncorrected formation energy (eV/atom): 0.513

Unit cell a=6.2003 b=6.2003 c=4.0911 alpha=71.67 beta=71.67 gamma=125.55
Positions (direct):
Br 0.5000 0.0000 0.5000
Si 0.0000 0.0000 0.0000
Si 0.5000 0.5000 0.0000
In 0.0000 0.5000 0.5000